Model 1:
Compound: Na3TcIr
Source: Alexandria
Functional: PBE
Structure: relaxed

Summary:
* total moment: 5.00 μB per cell
* calculated volume: 155 Å³ per cell
* Fermi-level density of states: 0.712 states/eV/atom

abc: 5.372 5.372 5.372
angles: 90.00 90.00 90.00
Atoms (fractional coordinates):
Na 0.000 0.000 0.500
Na 0.000 0.500 0.000
Na 0.500 0.000 0.000
Tc 0.500 0.500 0.500
Ir 0.000 0.000 0.000

Model 2:
Compound: Na3TcIr
Source: Alexandria
Functional: PBE
Structure: relaxed

Summary:
* total moment: 5.00 μB per cell
* calculated volume: 153 Å³ per cell
* Fermi-level density of states: 1.995 states/eV/atom

abc: 5.354 5.354 5.354
angles: 90.00 90.00 90.00
Atoms (fractional coordinates):
Na 0.000 0.000 0.500
Na 0.000 0.500 0.000
Na 0.500 0.000 0.000
Tc 0.000 0.000 0.000
Ir 0.500 0.500 0.500

Which one sits at the bottom of the stability order? model 2 does.

Model 1:
Compound: NaTi3Ir
Source: Alexandria
Functional: PBE
Structure: relaxed

Summary:
* total moment: 0.00 μB per cell
* calculated volume: 91 Å³ per cell
* Fermi-level density of states: 2.207 states/eV/atom

abc: 4.491 4.491 4.491
angles: 90.00 90.00 90.00
Atoms (fractional coordinates):
Na 0.000 0.000 0.000
Ti 0.000 0.000 0.500
Ti 0.000 0.500 0.000
Ti 0.500 0.000 0.000
Ir 0.500 0.500 0.500

Model 2:
Compound: NaTi3Ir
Source: Alexandria
Functional: PBE
Structure: relaxed

Summary:
* total moment: 2.47 μB per cell
* calculated volume: 115 Å³ per cell
* Fermi-level density of states: 1.029 states/eV/atom

abc: 4.866 4.866 4.866
angles: 90.00 90.00 90.00
Atoms (fractional coordinates):
Na 0.000 0.000 0.000
Ti 0.000 0.500 0.500
Ti 0.500 0.000 0.500
Ti 0.500 0.500 0.000
Ir 0.500 0.500 0.500

Which one sits at the bottom of the stability order? model 1 does.

Model 1:
Compound: Na2TiIr2
Source: Alexandria
Functional: PBE
Structure: relaxed

Summary:
* total moment: 0.00 μB per cell
* calculated volume: 84 Å³ per cell
* Fermi-level density of states: 0.537 states/eV/atom

abc: 7.970 7.970 7.970
angles: 155.98 155.98 34.23
Atoms (fractional coordinates):
Na 0.250 0.750 0.500
Na 0.750 0.250 0.500
Ti 0.000 0.000 0.000
Ir 0.409 0.409 0.000
Ir 0.591 0.591 0.000

Model 2:
Compound: Na2TiIr2
Source: Alexandria
Functional: PBE
Structure: relaxed

Summary:
* total moment: 0.00 μB per cell
* calculated volume: 204 Å³ per cell
* Fermi-level density of states: 0.628 states/eV/atom

abc: 6.311 6.311 5.114
angles: 90.00 90.00 90.00
Atoms (fractional coordinates):
Na 0.168 0.332 0.000
Na 0.332 0.832 0.000
Na 0.668 0.168 0.000
Na 0.832 0.668 0.000
Ti 0.000 0.000 0.500
Ti 0.500 0.500 0.500
Ir 0.139 0.639 0.500
Ir 0.361 0.139 0.500
Ir 0.639 0.861 0.500
Ir 0.861 0.361 0.500

Which one sits at the bottom of the stability order? model 1 does.